1.
## CsRb2HgCl (PBE)

Data for an optimized crystal structure of CsRb2HgCl.

DOS at the Fermi energy: 3.65 states/eV per cell
Formation energy from raw total energies: -74 kJ per mole of atoms
Crystal system: tetragonal
Uncorrected energy: -1.754 eV per atom

abc: 6.4393 6.4393 6.8677
angles: 90.00 90.00 90.00
Space group P4/mmm (No. 123)
Asymmetric unit:
Cs 0.0000 0.0000 0.0000 (multiplicity 1)
Rb 0.0000 0.5000 0.5000 (multiplicity 2)
Hg 0.5000 0.5000 0.0000 (multiplicity 1)
Cl 0.0000 0.0000 0.5000 (multiplicity 1)



2.
## Cs2RbHgCl6 (PBE)

Data for an optimized crystal structure of Cs2RbHgCl6.

DOS at the Fermi energy: 12.41 states/eV per cell
Formation energy from raw total energies: -126 kJ per mole of atoms
Crystal system: monoclinic
Uncorrected energy: -2.716 eV per atom

abc: 7.9381 8.2435 13.7965
angles: 90.00 124.61 90.00
Space group P2_1/c (No. 14)
Asymmetric unit:
Cs 0.2317 0.0602 0.2485 (multiplicity 4)
Rb 0.5000 0.0000 0.0000 (multiplicity 2)
Hg 0.0000 0.0000 0.5000 (multiplicity 2)
Cl 0.1339 0.2303 0.9564 (multiplicity 4)
Cl 0.2303 0.6795 0.9612 (multiplicity 4)
Cl 0.3005 0.0184 0.7226 (multiplicity 4)



3.
## CsRbHg2Cl6 (PBE)

Data for an optimized crystal structure of CsRbHg2Cl6.

DOS at the Fermi energy: 0.00 states/eV per cell
Formation energy from raw total energies: -113 kJ per mole of atoms
Crystal system: monoclinic
Uncorrected energy: -2.520 eV per atom

abc: 10.9923 15.6613 10.1474
angles: 90.00 105.61 90.00
Space group C2/c (No. 15)
Asymmetric unit:
Cs 0.0000 0.0578 0.2500 (multiplicity 4)
Rb 0.0000 0.4195 0.7500 (multiplicity 4)
Hg 0.1729 0.3481 0.3723 (multiplicity 8)
Cl 0.0448 0.3784 0.0903 (multiplicity 8)
Cl 0.2108 0.0136 0.5773 (multiplicity 8)
Cl 0.2475 0.2936 0.6729 (multiplicity 8)



4.
## Cs2RbHg2Cl6 (PBE)

Data for an optimized crystal structure of Cs2RbHg2Cl6.

DOS at the Fermi energy: 8.63 states/eV per cell
Formation energy from raw total energies: -122 kJ per mole of atoms
Crystal system: monoclinic
Uncorrected energy: -2.570 eV per atom

abc: 13.0328 8.1596 8.9391
angles: 90.00 110.92 90.00
Space group C2/m (No. 12)
Asymmetric unit:
Cs 0.1926 0.0000 0.1508 (multiplicity 4)
Rb 0.0000 0.0000 0.5000 (multiplicity 2)
Hg 0.0316 0.5000 0.3624 (multiplicity 4)
Cl 0.0643 0.2485 0.8092 (multiplicity 8)
Cl 0.2368 0.5000 0.4325 (multiplicity 4)



5.
## Cs2RbHgCl (PBE)

Data for an optimized crystal structure of Cs2RbHgCl.

DOS at the Fermi energy: 0.92 states/eV per cell
Formation energy from raw total energies: -69 kJ per mole of atoms
Crystal system: tetragonal
ΔE to the lowest computed polymorph: 63 meV per atom
Uncorrected energy: -1.678 eV per atom

abc: 6.6486 6.6486 7.7726
angles: 90.00 90.00 90.00
Space group P4/mmm (No. 123)
Asymmetric unit:
Cs 0.0000 0.5000 0.0000 (multiplicity 2)
Rb 0.0000 0.0000 0.5000 (multiplicity 1)
Hg 0.5000 0.5000 0.5000 (multiplicity 1)
Cl 0.5000 0.5000 0.0000 (multiplicity 1)



6.
## Cs2RbHgCl5 (PBE)

Data for an optimized crystal structure of Cs2RbHgCl5.

DOS at the Fermi energy: 0.00 states/eV per cell
Formation energy from raw total energies: -146 kJ per mole of atoms
Crystal system: orthorhombic
Uncorrected energy: -2.873 eV per atom

abc: 4.7909 19.0750 14.7979
angles: 90.00 90.00 90.00
Space group Cmc2_1 (No. 36)
Asymmetric unit:
Cs 0.0000 0.0998 0.0000 (multiplicity 4)
Cs 0.0000 0.1567 0.6253 (multiplicity 4)
Rb 0.0000 0.2051 0.3368 (multiplicity 4)
Hg 0.0000 0.4845 0.7447 (multiplicity 4)
Cl 0.0000 0.0326 0.3265 (multiplicity 4)
Cl 0.0000 0.2758 0.9820 (multiplicity 4)
Cl 0.0000 0.3506 0.6932 (multiplicity 4)
Cl 0.0000 0.3834 0.3071 (multiplicity 4)
Cl 0.0000 0.4753 0.0780 (multiplicity 4)